VASP calculation (PBE) on SiPdN2F after structural relaxation.

Values from the calculation:
For the uncorrected formation energy, the calculation gives 1135 meV per atom. The density of states at the Fermi level is 0.633 states/eV/atom. Its symmetry is P4/mmm, No. 123. The polymorph energy (0 for the lowest one) comes out at 1184 meV per atom.

Geometry as POSCAR:
```
SiPdN2F
1.0
3.981 0.000 0.000
0.000 3.981 0.000
0.000 0.000 4.205
Si Pd N F
1 1 2 1
Direct
0.000 0.000 0.000
0.500 0.500 0.500
0.000 0.500 0.500
0.500 0.000 0.500
0.500 0.500 0.000
```